Arrangement P

## NaThCd2 (PBE)

Data for a relaxed NaThCd2 crystal.

Space group: Amm2, No. 38
Theoretical density: 7.2 Mg/m³
N(E_F): 2.762 states/eV per cell

Cell: 3.383 3.382 11.105 Å, 90.00 90.00 60.00°
Atoms (fractional coordinates):
1 Th 0.541 0.656 0.000
2 Na 0.210 0.320 0.500
3 Cd 0.875 0.989 0.254
4 Cd 0.875 0.989 0.746

Arrangement Q

## NaThCd2 (PBE)

Data for a relaxed NaThCd2 crystal.

Space group: R-3m, No. 166
Theoretical density: 7.3 Mg/m³
N(E_F): 3.405 states/eV per cell

Cell: 3.374 3.374 11.311 Å, 81.42 81.42 60.00°
Atoms (fractional coordinates):
1 Cd 0.252 0.252 0.245
2 Cd 0.748 0.748 0.755
3 Na 0.000 0.000 0.000
4 Th 0.500 0.500 0.500

Winner for stability: arrangement P

Arrangement P

## Na2TiCd2 (PBE)

Data for a relaxed Na2TiCd2 crystal.

Space group: I4/mmm, No. 139
Theoretical density: 4.6 Mg/m³
N(E_F): 3.479 states/eV per cell

Cell: 3.891 3.891 8.132 Å, 76.16 76.16 90.00°
Atoms (fractional coordinates):
1 Na 0.750 0.250 0.500
2 Cd 0.409 0.409 0.182
3 Na 0.250 0.750 0.500
4 Cd 0.591 0.591 0.818
5 Ti 0.000 0.000 0.000

Arrangement Q

## Na2TiCd2 (PBE)

Data for a relaxed Na2TiCd2 crystal.

Space group: P4/mbm, No. 127
Theoretical density: 4.3 Mg/m³
N(E_F): 7.878 states/eV per cell

Cell: 8.403 8.403 3.483 Å, 90.00 90.00 90.00°
Last column: magnetic moment on the atom in μB.
Atoms (fractional coordinates):
1 Ti 0.000 0.000 0.000  1.69
2 Cd 0.167 0.333 0.000  0.01
3 Cd 0.667 0.167 0.000  0.01
4 Na 0.137 0.637 0.500  0.00
5 Cd 0.833 0.667 0.000  0.01
6 Na 0.637 0.863 0.500  0.00
7 Ti 0.500 0.500 0.000  1.69
8 Na 0.363 0.137 0.500  0.00
9 Cd 0.333 0.833 0.000  0.01
10 Na 0.863 0.363 0.500  0.00

Winner for stability: arrangement Q